The following is a DFT calculation (PBE) of crystalline YSc2Au at its relaxed geometry.

The formation energy comes out at -0.2977 eV per atom. Its polymorph energy (0 for the lowest one) is 124 meV per atom. As for the spin magnetization: 0.00 μB/f.u. For the volume, the calculation gives 24.143 Å³ per atom.

It has space group P2/m (No. 10), with a = 3.5120 Å, b = 4.7208 Å, c = 6.0795 Å, α = 90.00°, β = 106.64° and γ = 90.00°. The asymmetric unit holds Y at (0.0000, 0.0000, 0.0000), Sc at (0.3850, 0.5000, 0.7233) and Au at (0.0000, 0.0000, 0.5000).

---

The following is a DFT calculation (PBE) of crystalline TaBeW2 at its relaxed geometry.

The formation energy comes out at 0.2015 eV per atom. As for the spin magnetization: 0.00 μB/f.u. For the volume, the calculation gives 15.425 Å³ per atom.

It has space group P2/m (No. 10), with a = 2.7234 Å, b = 4.4680 Å, c = 5.1187 Å, α = 90.00°, β = 97.86° and γ = 90.00°. The asymmetric unit holds Ta at (0.0000, 0.0000, 0.0000), Be at (0.5000, 0.0000, 0.5000) and W at (0.2747, 0.5000, 0.7439).

---

The following is a DFT calculation (PBE) of crystalline BSb3Rh at its relaxed geometry.

Its polymorph energy (0 for the lowest one) is 380 meV per atom. As for the spin magnetization: 0.00 μB/f.u. The energy relative to the elements, uncorrected comes out at 1.183 eV/atom. For the volume, the calculation gives 27.063 Å³ per atom.

It has space group Pm-3m (No. 221), with a = 5.1339 Å, b = 5.1339 Å, c = 5.1339 Å, α = 90.00°, β = 90.00° and γ = 90.00°. The asymmetric unit holds B at (0.0000, 0.0000, 0.0000), Sb at (0.0000, 0.5000, 0.5000) and Rh at (0.5000, 0.5000, 0.5000).

---

The following is a DFT calculation (PBE) of crystalline LiSb2TeCl at its relaxed geometry.

Its polymorph energy (0 for the lowest one) is 277 meV per atom. As for the spin magnetization: 0.00 μB/f.u. The energy relative to the elements, uncorrected comes out at 0.469 eV/atom. For the volume, the calculation gives 32.231 Å³ per atom.

It has space group P4/mmm (No. 123), with a = 5.3598 Å, b = 5.3598 Å, c = 5.6098 Å, α = 90.00°, β = 90.00° and γ = 90.00°. The asymmetric unit holds Li at (0.0000, 0.0000, 0.0000), Sb at (0.0000, 0.5000, 0.5000), Te at (0.5000, 0.5000, 0.0000) and Cl at (0.5000, 0.5000, 0.5000).

---

The following is a DFT calculation (PBE) of crystalline Si3Br at its relaxed geometry.

Its polymorph energy (0 for the lowest one) is 294 meV per atom. As for the spin magnetization: 0.00 μB/f.u. The energy relative to the elements, uncorrected comes out at 0.553 eV/atom. For the volume, the calculation gives 18.796 Å³ per atom.

It has space group Im-3m (No. 229), with a = 5.3176 Å, b = 5.3176 Å, c = 5.3176 Å, α = 90.00°, β = 90.00° and γ = 90.00°. The asymmetric unit holds Si at (0.0000, 0.0000, 0.5000) and Br at (0.0000, 0.0000, 0.0000).

---

The following is a DFT calculation (PBE) of crystalline TlRe2 at its relaxed geometry.

The formation energy comes out at 2.0493 eV per atom. Its polymorph energy (0 for the lowest one) is 1508 meV per atom. As for the spin magnetization: 0.00 μB/f.u. For the volume, the calculation gives 21.852 Å³ per atom.

It has space group Pa-3 (No. 205), with a = 6.4006 Å, b = 6.4006 Å, c = 6.4006 Å, α = 90.00°, β = 90.00° and γ = 90.00°. The asymmetric unit holds Tl at (0.0000, 0.0000, 0.0000) and Re at (0.1022, 0.6022, 0.8978).

---

The following is a DFT calculation (PBE) of crystalline LiScMo4 at its relaxed geometry.

The formation energy comes out at 0.3328 eV per atom. As for the spin magnetization: 0.00 μB/f.u. For the volume, the calculation gives 17.787 Å³ per atom.

It has space group F-43m (No. 216), with a = 7.5296 Å, b = 7.5296 Å, c = 7.5296 Å, α = 90.00°, β = 90.00° and γ = 90.00°. The asymmetric unit holds Li at (0.0000, 0.0000, 0.0000), Sc at (0.2500, 0.2500, 0.2500) and Mo at (0.1257, 0.1257, 0.6257).

---

The following is a DFT calculation (PBE) of crystalline PrRh at its relaxed geometry.

The formation energy comes out at -0.6536 eV per atom. As for the spin magnetization: 0.00 μB/f.u. For the volume, the calculation gives 23.546 Å³ per atom.

It has space group Cmcm (No. 63), with a = 3.9743 Å, b = 11.0738 Å, c = 4.2802 Å, α = 90.00°, β = 90.00° and γ = 90.00°. The asymmetric unit holds Pr at (0.0000, 0.1414, 0.2500) and Rh at (0.0000, 0.4157, 0.2500).